# 1
Material: KHf2BeSi
Method: DFT, PBE
State: optimized geometry

Properties
Formation energy (no corrections): 79 kJ per mole of atoms
E: -5.2139 eV/atom
Total magnetic moment: 0.00 Bohr magnetons per cell

```
5
Lattice="-0.0219 4.4485 -2.5923 -2.3683 -1.8363 -3.1310 -4.3120 1.4007 2.4401" Properties=species:S:1:pos:R:3 pbc="T T T"
Be -1.1842 -0.9181 -1.5655
K -3.3511 2.0064 -1.6416
Hf -2.1560 0.7003 1.2201
Hf -0.0110 2.2242 -1.2961
Si 0.0000 0.0000 0.0000
```

# 2
Material: Pm6Hg6Pb
Method: DFT, PBE
State: optimized geometry

Properties
ΔH_f (0 K): -318 meV per atom
E: -2.9356 eV/atom
Total magnetic moment: 1.45 Bohr magnetons per cell

```
13
Lattice="6.3685 -0.0002 0.0000 -3.1837 5.5156 0.0000 0.0000 0.0000 10.7207" Properties=species:S:1:pos:R:3 pbc="T T T"
Pm 0.0000 0.0000 7.3342
Pm 0.0000 0.0000 3.3865
Pm 0.0005 3.6770 0.0000
Pm 3.1844 1.8384 0.0000
Pm 0.0004 3.6770 5.3604
Pm 3.1844 1.8384 5.3604
Hg -1.5918 2.7578 8.0455
Hg 3.1843 -0.0001 8.0455
Hg 1.5924 2.7577 8.0455
Hg 3.1843 -0.0001 2.6752
Hg -1.5918 2.7578 2.6752
Hg 1.5924 2.7577 2.6752
Pb 0.0000 0.0000 0.0000
```

# 3
Material: Cs3Ce3CdTe8
Method: DFT, PBE
State: optimized geometry

Properties
Formation energy (no corrections): -107 kJ per mole of atoms
E: -4.2069 eV/atom
Total magnetic moment: 1.08 Bohr magnetons per cell

```
15
Lattice="9.1286 0.0000 0.0000 -4.5643 7.8904 -0.0302 0.0000 -5.2208 9.0678" Properties=species:S:1:pos:R:3 pbc="T T T"
Cs 0.0000 0.0000 0.0000
Cs -2.2822 3.9452 -0.0151
Cs 2.2822 3.9452 -0.0151
Ce 4.5643 -2.6104 4.5339
Ce 2.2822 1.3348 4.5188
Ce -2.2822 1.3348 4.5188
Cd 0.0000 -2.6104 4.5339
Te 0.0000 2.6402 2.7697
Te 4.5643 0.0294 6.2678
Te 4.5643 2.6323 2.8269
Te 0.0000 0.0372 6.2106
Te 6.8232 -1.2908 2.8341
Te -2.2589 3.9604 6.2034
Te 2.3054 -1.2908 2.8341
Te 2.2589 3.9604 6.2034
```

# 4
Material: Ho2GaPb
Method: DFT, PBE
State: optimized geometry

Properties
ΔH_f (0 K): -403 meV per atom
E: -4.3752 eV/atom
Total magnetic moment: 0.00 Bohr magnetons per cell

```
4
Lattice="-0.9628 1.1778 -3.3560 2.0665 -0.8746 -2.9226 -4.6218 -7.5268 -3.3384" Properties=species:S:1:pos:R:3 pbc="T T T"
Pb -1.7590 -3.6118 -4.8085
Ho -0.7410 -1.5942 -2.3697
Ho -2.7771 -5.6294 -7.2473
Ga 0.0000 0.0000 0.0000
```

# 5
Material: TmNbIr2
Method: DFT, PBE
State: optimized geometry

Properties
ΔH_f (0 K): -549 meV per atom
E: -8.6144 eV/atom
Total magnetic moment: 0.00 Bohr magnetons per cell

```
4
Lattice="3.0188 0.0000 0.0000 0.0000 4.8471 0.0000 0.0000 0.0000 4.8471" Properties=species:S:1:pos:R:3 pbc="T T T"
Nb 1.5094 0.0000 0.0000
Ir 0.0000 0.0000 2.4235
Ir 0.0000 2.4235 0.0000
Tm 1.5094 2.4235 2.4235
```

# 6
Material: Na2PdS4
Method: DFT, PBE
State: optimized geometry

Properties
Formation energy (no corrections): -53 kJ per mole of atoms
E: -4.0313 eV/atom
Total magnetic moment: 0.00 Bohr magnetons per cell

```
14
Lattice="-7.3785 -2.2555 -1.1029 -2.1942 -1.9799 -7.3904 -3.8871 -6.8000 4.9932" Properties=species:S:1:pos:R:3 pbc="T T T"
Na -4.3180 -6.1099 -1.4502
Na -8.7844 -8.4388 1.0280
Na -2.0362 -2.3699 -0.8706
Na -6.4998 -4.6953 1.6108
Pd -6.2105 -4.6409 -5.5445
Pd -6.7949 -8.1470 -1.6839
S -4.7477 -3.3796 -0.2495
S -6.0651 -7.4294 0.4124
S -8.3308 -8.3596 -3.4831
S -6.0318 -2.1498 -1.3260
S -9.0831 -7.4964 -1.7339
S -4.6722 -4.4274 -3.7467
S -8.2707 -4.1127 -4.6071
S -9.1071 -5.5683 0.7911
```

Q: Which of these has the lowest E?
A: TmNbIr2

Q: Which of these has the highest total magnetic moment?
A: Pm6Hg6Pb

Q: Look up the E of the second one.
A: -2.9356 eV/atom